Computed, not measured: a geometry-optimized SrCa4Ac structure at the PBE-GGA level of DFT.

Calculated values
Energy of formation in meV/atom: 102
Relative energy among the computed polymorphs in meV/atom: 72
Energy in eV per atom: -2.197

Unit cell a=7.3207 b=7.3207 c=7.3207 alpha=60.00 beta=60.00 gamma=60.00
Element x y z (fractional)
Sr 0.0000 0.0000 0.0000
Ca 0.1260 0.6247 0.6247
Ca 0.6247 0.1260 0.6247
Ca 0.6247 0.6247 0.1260
Ca 0.6247 0.6247 0.6247
Ac 0.2500 0.2500 0.2500

---

Computed, not measured: a geometry-optimized Sr3Ca12Ac structure at the PBE-GGA level of DFT.

Calculated values
Energy of formation in meV/atom: 28
Energy in eV per atom: -2.045

Unit cell a=5.6438 b=5.6438 c=22.3919 alpha=90.00 beta=90.00 gamma=90.00
Element x y z (fractional)
Sr 0.0000 0.0000 0.0000
Sr 0.0000 0.0000 0.2526
Sr 0.0000 0.0000 0.7474
Ca 0.0000 0.5000 0.1262
Ca 0.0000 0.5000 0.3778
Ca 0.0000 0.5000 0.6222
Ca 0.0000 0.5000 0.8738
Ca 0.5000 0.0000 0.1262
Ca 0.5000 0.0000 0.3778
Ca 0.5000 0.0000 0.6222
Ca 0.5000 0.0000 0.8738
Ca 0.5000 0.5000 0.0000
Ca 0.5000 0.5000 0.2510
Ca 0.5000 0.5000 0.5000
Ca 0.5000 0.5000 0.7490
Ac 0.0000 0.0000 0.5000

---

Computed, not measured: a geometry-optimized SrCa4Ac2 structure at the PBE-GGA level of DFT.

Calculated values
Energy of formation in meV/atom: 21
Relative energy among the computed polymorphs in meV/atom: 0
Energy in eV per atom: -2.537

Unit cell a=23.1643 b=23.1643 c=23.1643 alpha=9.83 beta=9.83 gamma=9.83
Element x y z (fractional)
Sr 0.0000 0.0000 0.0000
Ca 0.0959 0.0959 0.0959
Ca 0.3828 0.3828 0.3828
Ca 0.6172 0.6172 0.6172
Ca 0.9041 0.9041 0.9041
Ac 0.1893 0.1893 0.1893
Ac 0.8107 0.8107 0.8107

---

Computed, not measured: a geometry-optimized SrCa5Ac5 structure at the PBE-GGA level of DFT.

Calculated values
Energy of formation in meV/atom: 280
Energy in eV per atom: -2.651

Unit cell a=6.9881 b=6.9881 c=12.9544 alpha=90.00 beta=90.00 gamma=120.00
Element x y z (fractional)
Sr 0.0000 0.0000 0.0000
Ca 0.0000 0.0000 0.3336
Ca 0.0000 0.0000 0.6664
Ca 0.3333 0.6667 0.1889
Ca 0.3333 0.6667 0.8111
Ca 0.6667 0.3333 0.0000
Ac 0.0026 0.5013 0.5000
Ac 0.4987 0.5013 0.5000
Ac 0.4987 0.9974 0.5000
Ac 0.6667 0.3333 0.2644
Ac 0.6667 0.3333 0.7356

---

Computed, not measured: a geometry-optimized SrCa3Ac4 structure at the PBE-GGA level of DFT.

Calculated values
Energy of formation in meV/atom: 237
Energy in eV per atom: -2.778

Unit cell a=29.1643 b=3.7893 c=6.7790 alpha=90.00 beta=91.58 gamma=90.00
Element x y z (fractional)
Sr 0.0000 0.0000 0.0000
Sr 0.5000 0.5000 0.0000
Ca 0.0000 0.5000 0.5000
Ca 0.1510 0.5000 0.7435
Ca 0.3490 0.0000 0.2565
Ca 0.5000 0.0000 0.5000
Ca 0.6510 0.0000 0.7435
Ca 0.8490 0.5000 0.2565
Ac 0.1074 0.5000 0.2393
Ac 0.2196 0.0000 0.2473
Ac 0.2804 0.5000 0.7527
Ac 0.3926 0.0000 0.7607
Ac 0.6074 0.0000 0.2393
Ac 0.7196 0.5000 0.2473
Ac 0.7804 0.0000 0.7527
Ac 0.8926 0.5000 0.7607

---

Computed, not measured: a geometry-optimized Sr2Ca5Ac structure at the PBE-GGA level of DFT.

Calculated values
Energy of formation in meV/atom: 34
Relative energy among the computed polymorphs in meV/atom: 0
Energy in eV per atom: -2.151

Unit cell a=6.2982 b=6.2982 c=18.0751 alpha=90.00 beta=90.00 gamma=90.00
Element x y z (fractional)
Sr 0.0000 0.0000 0.2479
Sr 0.0000 0.0000 0.7521
Sr 0.5000 0.5000 0.2521
Sr 0.5000 0.5000 0.7479
Ca 0.0000 0.0000 0.5000
Ca 0.0000 0.5000 0.1175
Ca 0.0000 0.5000 0.3825
Ca 0.0000 0.5000 0.6175
Ca 0.0000 0.5000 0.8825
Ca 0.5000 0.0000 0.1175
Ca 0.5000 0.0000 0.3825
Ca 0.5000 0.0000 0.6175
Ca 0.5000 0.0000 0.8825
Ca 0.5000 0.5000 0.0000
Ac 0.0000 0.0000 0.0000
Ac 0.5000 0.5000 0.5000

---

Computed, not measured: a geometry-optimized Sr9CaAc4 structure at the PBE-GGA level of DFT.

Calculated values
Energy of formation in meV/atom: 122
Energy in eV per atom: -2.276

Unit cell a=11.6891 b=11.6891 c=12.7479 alpha=90.00 beta=90.00 gamma=120.00
Element x y z (fractional)
Sr 0.0779 0.5390 0.2500
Sr 0.2017 0.4035 0.5395
Sr 0.2017 0.4035 0.9605
Sr 0.2017 0.7983 0.5395
Sr 0.2017 0.7983 0.9605
Sr 0.4035 0.2017 0.0395
Sr 0.4035 0.2017 0.4605
Sr 0.4610 0.5390 0.2500
Sr 0.4610 0.9221 0.2500
Sr 0.5390 0.0779 0.7500
Sr 0.5390 0.4610 0.7500
Sr 0.5965 0.7983 0.5395
Sr 0.5965 0.7983 0.9605
Sr 0.7983 0.2017 0.0395
Sr 0.7983 0.2017 0.4605
Sr 0.7983 0.5965 0.0395
Sr 0.7983 0.5965 0.4605
Sr 0.9221 0.4610 0.7500
Ca 0.3333 0.6667 0.7500
Ca 0.6667 0.3333 0.2500
Ac 0.0000 0.0000 0.0000
Ac 0.0000 0.0000 0.5000
Ac 0.1040 0.2080 0.2500
Ac 0.1040 0.8960 0.2500
Ac 0.2080 0.1040 0.7500
Ac 0.7920 0.8960 0.2500
Ac 0.8960 0.1040 0.7500
Ac 0.8960 0.7920 0.7500

---

Computed, not measured: a geometry-optimized Sr2Ca4Ac structure at the PBE-GGA level of DFT.

Calculated values
Energy of formation in meV/atom: 31
Relative energy among the computed polymorphs in meV/atom: 0
Energy in eV per atom: -2.180

Unit cell a=6.9373 b=4.0031 c=23.0811 alpha=90.00 beta=90.05 gamma=90.00
Element x y z (fractional)
Sr 0.0000 0.0000 0.0000
Sr 0.0038 0.0000 0.7063
Sr 0.5000 0.5000 0.0000
Sr 0.5038 0.5000 0.7063
Ca 0.1665 0.5000 0.1457
Ca 0.1674 0.5000 0.4240
Ca 0.3352 0.0000 0.8530
Ca 0.3355 0.0000 0.5605
Ca 0.6665 0.0000 0.1457
Ca 0.6674 0.0000 0.4240
Ca 0.8352 0.5000 0.8530
Ca 0.8355 0.5000 0.5605
Ac 0.0000 0.0000 0.2848
Ac 0.5000 0.5000 0.2848

---

Computed, not measured: a geometry-optimized SrCaAc2 structure at the PBE-GGA level of DFT.

Calculated values
Energy of formation in meV/atom: 78
Relative energy among the computed polymorphs in meV/atom: 56
Energy in eV per atom: -2.897

Unit cell a=4.4149 b=4.4149 c=9.4692 alpha=90.00 beta=90.00 gamma=90.00
Element x y z (fractional)
Sr 0.0000 0.0000 0.0000
Ca 0.0000 0.0000 0.5000
Ac 0.5000 0.5000 0.2768
Ac 0.5000 0.5000 0.7232

---

Computed, not measured: a geometry-optimized Sr3CaAc2 structure at the PBE-GGA level of DFT.

Calculated values
Energy of formation in meV/atom: 62
Energy in eV per atom: -2.482

Unit cell a=6.6228 b=12.2110 c=7.1025 alpha=90.00 beta=90.00 gamma=90.00
Element x y z (fractional)
Sr 0.2500 0.0814 0.0895
Sr 0.2500 0.2500 0.5887
Sr 0.2500 0.4186 0.0895
Sr 0.7500 0.5814 0.9105
Sr 0.7500 0.7500 0.4113
Sr 0.7500 0.9186 0.9105
Ca 0.2500 0.7500 0.0814
Ca 0.7500 0.2500 0.9186
Ac 0.2500 0.5876 0.5796
Ac 0.2500 0.9124 0.5796
Ac 0.7500 0.0876 0.4204
Ac 0.7500 0.4124 0.4204

---

Computed, not measured: a geometry-optimized SrCa3Ac structure at the PBE-GGA level of DFT.

Calculated values
Energy of formation in meV/atom: 203
Energy in eV per atom: -2.156

Unit cell a=11.2472 b=11.2472 c=3.9426 alpha=100.00 beta=100.00 gamma=72.51
Element x y z (fractional)
Sr 0.1012 0.1012 0.1022
Sr 0.8988 0.8988 0.8978
Ca 0.0592 0.6098 0.3339
Ca 0.3238 0.3238 0.3267
Ca 0.3902 0.9408 0.6661
Ca 0.6098 0.0592 0.3339
Ca 0.6762 0.6762 0.6733
Ca 0.9408 0.3902 0.6661
Ac 0.3505 0.6495 0.0000
Ac 0.6495 0.3505 0.0000

---

Computed, not measured: a geometry-optimized Sr7Ca3Ac structure at the PBE-GGA level of DFT.

Calculated values
Energy of formation in meV/atom: 196
Energy in eV per atom: -1.793

Unit cell a=11.2572 b=11.2572 c=10.4173 alpha=90.03 beta=90.03 gamma=116.37
Element x y z (fractional)
Sr 0.1082 0.7693 0.7505
Sr 0.1129 0.4034 0.5656
Sr 0.1136 0.4045 0.9349
Sr 0.2307 0.8918 0.2495
Sr 0.2463 0.2463 0.2500
Sr 0.4034 0.1129 0.5656
Sr 0.4045 0.1136 0.9349
Sr 0.5955 0.8864 0.0651
Sr 0.5966 0.8871 0.4344
Sr 0.7537 0.7537 0.7500
Sr 0.7693 0.1082 0.7505
Sr 0.8864 0.5955 0.0651
Sr 0.8871 0.5966 0.4344
Sr 0.8918 0.2307 0.2495
Ca 0.0000 0.0000 0.0000
Ca 0.0000 0.0000 0.5000
Ca 0.2759 0.5883 0.2508
Ca 0.4117 0.7241 0.7492
Ca 0.5883 0.2759 0.2508
Ca 0.7241 0.4117 0.7492
Ac 0.5000 0.5000 0.0000
Ac 0.5000 0.5000 0.5000

---

Computed, not measured: a geometry-optimized SrCa5Ac structure at the PBE-GGA level of DFT.

Calculated values
Energy of formation in meV/atom: 252
Energy in eV per atom: -2.005

Unit cell a=6.3591 b=6.3591 c=8.4570 alpha=90.00 beta=90.00 gamma=90.00
Element x y z (fractional)
Sr 0.0000 0.0000 0.0000
Ca 0.0000 0.5000 0.2625
Ca 0.0000 0.5000 0.7375
Ca 0.5000 0.0000 0.2625
Ca 0.5000 0.0000 0.7375
Ca 0.5000 0.5000 0.0000
Ac 0.0000 0.0000 0.5000

---

Computed, not measured: a geometry-optimized SrCa6Ac structure at the PBE-GGA level of DFT.

Calculated values
Energy of formation in meV/atom: 42
Relative energy among the computed polymorphs in meV/atom: 0
Energy in eV per atom: -2.183

Unit cell a=5.5996 b=5.5996 c=11.2635 alpha=90.00 beta=90.00 gamma=90.00
Element x y z (fractional)
Sr 0.0000 0.0000 0.0000
Ca 0.0000 0.5000 0.2538
Ca 0.0000 0.5000 0.7462
Ca 0.5000 0.0000 0.2538
Ca 0.5000 0.0000 0.7462
Ca 0.5000 0.5000 0.0000
Ca 0.5000 0.5000 0.5000
Ac 0.0000 0.0000 0.5000

---

Computed, not measured: a geometry-optimized Sr2Ca2Ac15 structure at the PBE-GGA level of DFT.

Calculated values
Energy of formation in meV/atom: 189
Energy in eV per atom: -3.442

Unit cell a=9.8294 b=9.8294 c=9.8294 alpha=82.09 beta=82.09 gamma=82.09
Element x y z (fractional)
Sr 0.1679 0.1679 0.1679
Sr 0.8321 0.8321 0.8321
Ca 0.4031 0.4031 0.4031
Ca 0.5969 0.5969 0.5969
Ac 0.0000 0.5000 0.5000
Ac 0.1463 0.1463 0.6523
Ac 0.1463 0.6523 0.1463
Ac 0.1986 0.5000 0.8014
Ac 0.1986 0.8014 0.5000
Ac 0.3477 0.8537 0.8537
Ac 0.5000 0.0000 0.5000
Ac 0.5000 0.1986 0.8014
Ac 0.5000 0.5000 0.0000
Ac 0.5000 0.8014 0.1986
Ac 0.6523 0.1463 0.1463
Ac 0.8014 0.1986 0.5000
Ac 0.8014 0.5000 0.1986
Ac 0.8537 0.3477 0.8537
Ac 0.8537 0.8537 0.3477

---

Computed, not measured: a geometry-optimized Sr3CaAc structure at the PBE-GGA level of DFT.

Calculated values
Energy of formation in meV/atom: 58
Relative energy among the computed polymorphs in meV/atom: 0
Energy in eV per atom: -2.173

Unit cell a=16.5733 b=16.5733 c=6.5625 alpha=90.33 beta=90.33 gamma=15.66
Element x y z (fractional)
Sr 0.0497 0.0497 0.2475
Sr 0.2522 0.2522 0.2502
Sr 0.4437 0.4437 0.2526
Sr 0.5563 0.5563 0.7474
Sr 0.7478 0.7478 0.7498
Sr 0.9503 0.9503 0.7525
Ca 0.1517 0.1517 0.7489
Ca 0.8483 0.8483 0.2511
Ac 0.3499 0.3499 0.7511
Ac 0.6501 0.6501 0.2489

---

Computed, not measured: a geometry-optimized Sr2Ca7Ac2 structure at the PBE-GGA level of DFT.

Calculated values
Energy of formation in meV/atom: 161
Relative energy among the computed polymorphs in meV/atom: 26
Energy in eV per atom: -2.166

Unit cell a=7.7370 b=7.7370 c=8.9955 alpha=100.35 beta=100.35 gamma=76.78
Element x y z (fractional)
Sr 0.0568 0.0568 0.3169
Sr 0.9432 0.9432 0.6831
Ca 0.0193 0.4225 0.6887
Ca 0.2292 0.2292 0.0359
Ca 0.4225 0.0193 0.6887
Ca 0.5000 0.5000 0.5000
Ca 0.5775 0.9807 0.3113
Ca 0.7708 0.7708 0.9641
Ca 0.9807 0.5775 0.3113
Ac 0.3066 0.6934 0.0000
Ac 0.6934 0.3066 0.0000

---

Computed, not measured: a geometry-optimized Sr2Ca4Ac5 structure at the PBE-GGA level of DFT.

Calculated values
Energy of formation in meV/atom: 143
Energy in eV per atom: -2.758

Unit cell a=9.9373 b=3.8439 c=13.1988 alpha=90.00 beta=94.42 gamma=90.00
Element x y z (fractional)
Sr 0.0543 0.0000 0.1400
Sr 0.9457 0.0000 0.8600
Ca 0.1581 0.5000 0.3987
Ca 0.3020 0.5000 0.9467
Ca 0.6980 0.5000 0.0533
Ca 0.8419 0.5000 0.6013
Ac 0.2110 0.0000 0.6653
Ac 0.4371 0.0000 0.2124
Ac 0.5000 0.0000 0.5000
Ac 0.5629 0.0000 0.7876
Ac 0.7890 0.0000 0.3347

---

Computed, not measured: a geometry-optimized Sr12Ca6Ac structure at the PBE-GGA level of DFT.

Calculated values
Energy of formation in meV/atom: 115
Relative energy among the computed polymorphs in meV/atom: 59
Energy in eV per atom: -1.795

Unit cell a=10.2289 b=10.2289 c=10.2289 alpha=102.23 beta=102.23 gamma=102.23
Element x y z (fractional)
Sr 0.9997 0.2612 0.7387
Sr 0.0003 0.7388 0.2613
Sr 0.1888 0.5851 0.5845
Sr 0.2613 0.0003 0.7388
Sr 0.2612 0.7387 0.9997
Sr 0.4149 0.4155 0.8112
Sr 0.4155 0.8112 0.4149
Sr 0.5845 0.1888 0.5851
Sr 0.5851 0.5845 0.1888
Sr 0.7387 0.9997 0.2612
Sr 0.7388 0.2613 0.0003
Sr 0.8112 0.4149 0.4155
Ca 0.1660 0.1667 0.4129
Ca 0.1667 0.4129 0.1660
Ca 0.4129 0.1660 0.1667
Ca 0.5871 0.8340 0.8333
Ca 0.8333 0.5871 0.8340
Ca 0.8340 0.8333 0.5871
Ac 0.0000 0.0000 0.0000

---

Computed, not measured: a geometry-optimized Sr3Ca6Ac2 structure at the PBE-GGA level of DFT.

Calculated values
Energy of formation in meV/atom: 31
Energy in eV per atom: -2.266

Unit cell a=36.2559 b=36.2559 c=36.2559 alpha=6.32 beta=6.32 gamma=6.32
Element x y z (fractional)
Sr 0.0000 0.0000 0.0000
Sr 0.2715 0.2715 0.2715
Sr 0.7285 0.7285 0.7285
Ca 0.0928 0.0928 0.0928
Ca 0.1812 0.1812 0.1812
Ca 0.3643 0.3643 0.3643
Ca 0.6357 0.6357 0.6357
Ca 0.8188 0.8188 0.8188
Ca 0.9072 0.9072 0.9072
Ac 0.4559 0.4559 0.4559
Ac 0.5441 0.5441 0.5441